Compound: SrScAg2Te4
Source: Alexandria via LeMat-Bulk
Functional: GGA-PBE
Structure: relaxed

The structure in CIF format:
```
data_SrScAg2Te4
_space_group_name_H-M_alt 'I 2 2 2'
_space_group_IT_number 23
_cell_length_a 7.4607
_cell_length_b 7.8766
_cell_length_c 8.6512
_cell_angle_alpha 90.00
_cell_angle_beta 90.00
_cell_angle_gamma 90.00
loop_
_space_group_symop_operation_xyz
'x,y,z'
'-x,-y,z'
'x,-y,-z'
'-x,y,-z'
'x+1/2,y+1/2,z+1/2'
'-x+1/2,-y+1/2,z+1/2'
'x+1/2,-y+1/2,-z+1/2'
'-x+1/2,y+1/2,-z+1/2'
loop_
_atom_site_label
_atom_site_fract_x
_atom_site_fract_y
_atom_site_fract_z
Sr1 0.0000 0.0000 0.0000
Sc1 0.0000 0.0000 0.5000
Ag1 0.0000 0.5000 0.1730
Te1 0.2097 0.2180 0.3175
```

energy relative to the elements, uncorrected: -0.7027 eV per atom
DOS(E_F): 0.29 states/eV/atom
final energy: -63.81 eV/cell